# 1
Below is a geometry-optimized O2F structure, with properties calculated at the PBEsol level.

Results
M_tot   0.000 μB per atom
Energy   -4.223 eV per atom
Raw formation energy   -0.081 eV per atom

Unit cell a=3.601 b=4.798 c=5.550 alpha=112.01 beta=93.40 gamma=111.01
Element x y z (fractional)
O: 0.000 0.000 0.000
O: 0.047 0.996 0.559
O: 0.310 0.223 0.015
O: 0.775 0.809 0.614
F: 0.253 0.567 0.101
F: 0.935 0.291 0.547



# 2
Below is a geometry-optimized LiCuAg2 structure, with properties calculated at the PBEsol level.

Results
M_tot   0.000 μB per atom
Formation energy   -64 meV/atom
Energy   -3.295 eV per atom

Unit cell a=4.099 b=4.099 c=3.389 alpha=90.00 beta=90.00 gamma=90.00
Element x y z (fractional)
Li: 0.000 0.000 0.000
Cu: 0.500 0.500 0.000
Ag: 0.000 0.500 0.500
Ag: 0.500 0.000 0.500



# 3
Below is a geometry-optimized CrTe2W2 structure, with properties calculated at the PBEsol level.

Results
M_tot   0.825 μB per atom
Energy   -7.960 eV per atom
Raw formation energy   1.022 eV per atom

Unit cell a=5.110 b=5.110 c=8.424 alpha=90.00 beta=90.00 gamma=90.00
Element x y z (fractional)
Cr: 0.000 0.000 0.000
Cr: 0.500 0.500 0.500
Te: 0.000 0.500 0.250
Te: 0.000 0.500 0.750
Te: 0.500 0.000 0.250
Te: 0.500 0.000 0.750
W: 0.000 0.000 0.365
W: 0.000 0.000 0.635
W: 0.500 0.500 0.135
W: 0.500 0.500 0.865



# 4
Below is a geometry-optimized AlBNO2 structure, with properties calculated at the PBEsol level.

Results
M_tot   0.328 μB per atom
Energy   -5.606 eV per atom
Raw formation energy   0.421 eV per atom

Unit cell a=3.510 b=3.510 c=4.016 alpha=90.00 beta=90.00 gamma=90.00
Element x y z (fractional)
Al: 0.000 0.000 0.000
B: 0.500 0.500 0.500
N: 0.000 0.000 0.500
O: 0.000 0.500 0.000
O: 0.500 0.000 0.000



# 5
Below is a geometry-optimized AlTlH3 structure, with properties calculated at the PBEsol level.

Results
M_tot   0.000 μB per atom
Energy   -2.621 eV per atom

Unit cell a=4.087 b=4.087 c=4.087 alpha=90.00 beta=90.00 gamma=90.00
Element x y z (fractional)
Al: 0.000 0.000 0.000
Tl: 0.500 0.500 0.500
H: 0.000 0.500 0.500
H: 0.500 0.000 0.500
H: 0.500 0.500 0.000



# 6
Below is a geometry-optimized LiAl2W structure, with properties calculated at the PBEsol level.

Results
M_tot   0.000 μB per atom
Formation energy   -60 meV/atom
Energy   -6.049 eV per atom
Energy above the most stable polymorph in this dataset   0 kJ/mol of formula units

Unit cell a=5.978 b=7.036 c=2.808 alpha=90.00 beta=90.00 gamma=90.00
Element x y z (fractional)
Li: 0.000 0.000 0.000
Li: 0.500 0.500 0.000
Al: 0.250 0.250 0.500
Al: 0.250 0.750 0.500
Al: 0.750 0.250 0.500
Al: 0.750 0.750 0.500
W: 0.000 0.500 0.000
W: 0.500 0.000 0.000



# 7
Below is a geometry-optimized Cs2InCuN structure, with properties calculated at the PBEsol level.

Results
M_tot   0.319 μB per atom
Energy   -2.560 eV per atom
Raw formation energy   0.986 eV per atom

Unit cell a=6.270 b=6.270 c=4.914 alpha=90.00 beta=90.00 gamma=90.00
Element x y z (fractional)
Cs: 0.000 0.500 0.000
Cs: 0.500 0.000 0.000
In: 0.000 0.000 0.500
Cu: 0.000 0.000 0.000
N: 0.500 0.500 0.500



# 8
Below is a geometry-optimized Mg2FeO4 structure, with properties calculated at the PBEsol level.

Results
M_tot   0.571 μB per atom
Energy   -6.732 eV per atom
Raw formation energy   -1.962 eV per atom

Unit cell a=5.881 b=5.881 c=5.881 alpha=60.00 beta=60.00 gamma=60.00
Element x y z (fractional)
Mg: 0.000 0.000 0.000
Mg: 0.000 0.000 0.500
Mg: 0.000 0.500 0.000
Mg: 0.500 0.000 0.000
Fe: 0.375 0.375 0.375
Fe: 0.625 0.625 0.625
O: 0.247 0.751 0.751
O: 0.249 0.249 0.249
O: 0.249 0.249 0.753
O: 0.249 0.753 0.249
O: 0.751 0.247 0.751
O: 0.751 0.751 0.247
O: 0.751 0.751 0.751
O: 0.753 0.249 0.249